LiCBr2 (PBE-GGA, relaxed); formation energy from raw total energies = 0.685 eV per atom; crystal system = tetragonal
1.0
-2.698 2.698 6.673
2.698 -2.698 6.673
2.698 2.698 -6.673
Li C Br
2 2 4
Cartesian
0.000 0.000 0.000
0.000 2.698 3.336
2.698 0.000 3.336
0.000 0.000 6.673
1.349 -1.139 5.005
1.559 1.349 1.668
1.349 3.837 -1.668
1.139 1.349 8.341

=====

Li2CBr (PBE-GGA, relaxed); formation energy from raw total energies = 0.613 eV per atom; crystal system = cubic
1.0
0.000 3.244 3.244
3.244 0.000 3.244
3.244 3.244 0.000
Li C Br
2 1 1
Cartesian
1.622 1.622 1.622
4.866 4.866 4.866
0.000 0.000 0.000
3.244 3.244 3.244

=====

Li3CBr (PBE-GGA, relaxed); formation energy from raw total energies = 0.065 eV per atom; crystal system = cubic
1.0
4.280 0.000 0.000
0.000 4.280 0.000
0.000 0.000 4.280
Li C Br
3 1 1
Cartesian
0.000 0.000 2.140
0.000 2.140 0.000
2.140 0.000 0.000
0.000 0.000 0.000
2.140 2.140 2.140

=====

Number 2 is which compound? Li2CBr